(1)
Tb12Sm3Y | PBE | relaxed

Cell and atoms, written as POSCAR:
```
Tb12Sm3Y
1.0
5.0577 0.0000 0.0000
0.0000 5.0577 0.0000
0.0000 0.0000 20.2076
Tb Sm Y
12 3 1
Direct
0.0000 0.0000 0.0000
0.0000 0.0000 0.2494
0.0000 0.0000 0.5000
0.0000 0.0000 0.7506
0.0000 0.5000 0.1246
0.0000 0.5000 0.3748
0.0000 0.5000 0.6252
0.0000 0.5000 0.8754
0.5000 0.0000 0.1246
0.5000 0.0000 0.3748
0.5000 0.0000 0.6252
0.5000 0.0000 0.8754
0.5000 0.5000 0.2497
0.5000 0.5000 0.5000
0.5000 0.5000 0.7503
0.5000 0.5000 0.0000
```

Properties
- ΔE_f: 26 kJ/mol of formula units
- SG: P4/mmm


(2)
Pm2ErTm3S6 | PBE | relaxed

Cell and atoms, written as POSCAR:
```
Pm2ErTm3S6
1.0
8.5371 -1.9423 0.0000
8.5371 1.9423 0.0000
-1.9151 0.0000 7.6520
Pm Er Tm S
2 1 3 6
Direct
0.1678 0.1678 0.3356
0.8322 0.8322 0.6644
0.5000 0.5000 0.0000
0.1690 0.1690 0.8332
0.5000 0.5000 0.5000
0.8310 0.8310 0.1668
0.0045 0.0045 0.7510
0.3340 0.3340 0.9292
0.3379 0.3379 0.4062
0.6621 0.6621 0.5938
0.6660 0.6660 0.0708
0.9955 0.9955 0.2490
```

Properties
- SG: C2/m


(3)
DyThMg | PBE | relaxed

Cell and atoms, written as POSCAR:
```
DyThMg
1.0
3.4953 0.0000 0.0000
-1.7476 3.0270 0.0000
0.0000 0.0000 8.5168
Dy Th Mg
1 1 1
Direct
0.0000 0.0000 0.0000
0.3333 0.6667 0.6618
0.6667 0.3333 0.3259
```

Properties
- ΔE_f: 22 kJ/mol of formula units
- SG: P3m1
- E above lowest polymorph: 100 meV/atom


(4)
MnIrRh2 | PBE | relaxed

Cell and atoms, written as POSCAR:
```
MnIrRh2
1.0
1.3844 -2.3231 0.0000
1.3844 2.3231 0.0000
0.0000 0.0000 8.9340
Mn Ir Rh
1 1 2
Direct
0.0000 0.0000 0.0000
0.5000 0.5000 0.7604
0.0000 0.0000 0.4991
0.5000 0.5000 0.2375
```

Properties
- ΔE_f: 58 kJ/mol of formula units
- SG: Cmm2


(5)
BeSn2HgW | PBE | relaxed

Cell and atoms, written as POSCAR:
```
BeSn2HgW
1.0
5.4813 0.0000 0.0000
0.0000 5.4813 0.0000
0.0000 0.0000 4.3386
Be Sn Hg W
1 2 1 1
Direct
0.0000 0.0000 0.0000
0.0000 0.5000 0.5000
0.5000 0.0000 0.5000
0.0000 0.0000 0.5000
0.5000 0.5000 0.0000
```

Properties
- ΔE_f: 777 kJ/mol of formula units
- SG: P4/mmm


(6)
ScCdB2 | PBE | relaxed

Cell and atoms, written as POSCAR:
```
ScCdB2
1.0
-1.9952 1.9952 7.7603
1.9952 -1.9952 7.7603
1.9952 1.9952 -7.7603
Sc Cd B
2 2 4
Direct
0.3750 0.6250 0.7500
0.6250 0.3750 0.2500
0.1250 0.8750 0.2500
0.8750 0.1250 0.7500
0.0000 0.0000 0.0000
0.0000 0.0000 0.5000
0.0000 0.5000 0.0000
0.5000 0.0000 0.5000
```

Properties
- ΔE_f: 303 kJ/mol of formula units
- SG: I4_1/amd


(7)
PmPrOs | PBE | relaxed

Cell and atoms, written as POSCAR:
```
PmPrOs
1.0
3.5038 2.0229 6.5203
-3.5038 2.0229 6.5203
0.0000 -4.0458 6.5203
Pm Pr Os
3 3 3
Direct
0.0011 0.3393 0.6595
0.3393 0.6595 0.0011
0.6595 0.0011 0.3393
0.1544 0.8400 0.4963
0.4963 0.1544 0.8400
0.8400 0.4963 0.1544
0.0784 0.0784 0.0784
0.4197 0.4197 0.4197
0.5765 0.5765 0.5765
```

Properties
- ΔE_f: 16 kJ/mol of formula units
- SG: R3
- E above lowest polymorph: 103 meV/atom


(8)
DyEr3 | PBE | relaxed

Cell and atoms, written as POSCAR:
```
DyEr3
1.0
4.9605 0.0000 0.0000
0.0000 4.9605 0.0000
0.0000 0.0000 4.9605
Dy Er
1 3
Direct
0.0000 0.0000 0.0000
0.0000 0.5000 0.5000
0.5000 0.0000 0.5000
0.5000 0.5000 0.0000
```

Properties
- ΔE_f: 9 kJ/mol of formula units
- SG: Pm-3m
- E above lowest polymorph: 23 meV/atom


(9)
Ba3Na6Sr2 | PBE | relaxed

Cell and atoms, written as POSCAR:
```
Ba3Na6Sr2
1.0
-2.5977 2.5977 20.3526
2.5977 -2.5977 20.3526
2.5977 2.5977 -20.3526
Ba Na Sr
3 6 2
Direct
0.0000 0.0000 0.0000
0.2151 0.2151 0.0000
0.7849 0.7849 0.0000
0.1231 0.6231 0.5000
0.3189 0.3189 0.0000
0.3769 0.8769 0.5000
0.6231 0.1231 0.5000
0.6811 0.6811 0.0000
0.8769 0.3769 0.5000
0.4482 0.4482 0.0000
0.5518 0.5518 0.0000
```

Properties
- ΔE_f: 77 kJ/mol of formula units
- SG: I4/mmm


(10)
LaYTm2 | PBE | relaxed

Cell and atoms, written as POSCAR:
```
LaYTm2
1.0
5.0880 0.0000 0.0000
0.0000 5.0880 0.0000
0.0000 0.0000 5.0148
La Y Tm
1 1 2
Direct
0.0000 0.0000 0.0000
0.5000 0.5000 0.0000
0.0000 0.5000 0.5000
0.5000 0.0000 0.5000
```

Properties
- ΔE_f: 16 kJ/mol of formula units
- SG: P4/mmm
- E above lowest polymorph: 28 meV/atom


(11)
La3NpPt8 | PBE | relaxed

Cell and atoms, written as POSCAR:
```
La3NpPt8
1.0
2.7641 1.5958 9.0339
-2.7641 1.5958 9.0339
0.0000 -3.1917 9.0339
La Np Pt
3 1 8
Direct
0.0000 0.0000 0.0000
0.1259 0.1259 0.1259
0.6223 0.6223 0.6223
0.4986 0.4986 0.4986
0.0610 0.0610 0.5613
0.0610 0.5613 0.0610
0.0635 0.5620 0.5620
0.3119 0.3119 0.3119
0.5613 0.0610 0.0610
0.5620 0.0635 0.5620
0.5620 0.5620 0.0635
0.8121 0.8121 0.8121
```

Properties
- ΔE_f: -1107 kJ/mol of formula units
- SG: R3m


(12)
WAu3Br | PBE | relaxed

Cell and atoms, written as POSCAR:
```
WAu3Br
1.0
5.1092 0.0000 0.0000
0.0000 5.1092 0.0000
0.0000 0.0000 5.1092
W Au Br
1 3 1
Direct
0.0000 0.0000 0.0000
0.0000 0.0000 0.5000
0.0000 0.5000 0.0000
0.5000 0.0000 0.0000
0.5000 0.5000 0.5000
```

Properties
- SG: Pm-3m
- E above lowest polymorph: 0 meV/atom


(13)
LaTm5Sc | PBE | relaxed

Cell and atoms, written as POSCAR:
```
LaTm5Sc
1.0
5.4507 -6.2421 0.0000
5.4507 6.2421 0.0000
-2.3679 0.0000 6.4808
La Tm Sc
2 10 2
Direct
0.1556 0.8444 0.7500
0.8444 0.1556 0.2500
0.1105 0.8895 0.2500
0.2335 0.2796 0.6389
0.2796 0.2335 0.1389
0.3422 0.6079 0.4654
0.3921 0.6578 0.0346
0.6079 0.3422 0.9654
0.6578 0.3921 0.5346
0.7204 0.7665 0.8611
0.7665 0.7204 0.3611
0.8895 0.1105 0.7500
0.0000 0.5000 0.0000
0.5000 0.0000 0.5000
```

Properties
- ΔE_f: 144 kJ/mol of formula units
- SG: C2/c


(14)
Na2LiPd3 | PBE | relaxed

Cell and atoms, written as POSCAR:
```
Na2LiPd3
1.0
4.5423 -2.7125 0.0000
4.5423 2.7125 0.0000
-2.9369 0.0000 4.3944
Na Li Pd
2 1 3
Direct
0.1220 0.1220 0.3779
0.8780 0.8780 0.6221
0.5000 0.5000 0.0000
0.0000 0.5000 0.0000
0.5000 0.0000 0.0000
0.5000 0.5000 0.5000
```

Properties
- ΔE_f: -147 kJ/mol of formula units
- SG: C2/m


(15)
InCuNi6 | PBE | relaxed

Cell and atoms, written as POSCAR:
```
InCuNi6
1.0
3.6127 -5.1789 0.0000
3.6127 5.1789 0.0000
0.0000 0.0000 10.3453
In Cu Ni
4 4 24
Direct
0.0000 0.0000 0.2466
0.0000 0.0000 0.7534
0.2447 0.7553 0.5000
0.7553 0.2447 0.5000
0.2455 0.7545 0.0000
0.5000 0.5000 0.2441
0.5000 0.5000 0.7559
0.7545 0.2455 0.0000
0.0000 0.0000 0.0000
0.0000 0.0000 0.5000
0.1305 0.3855 0.1194
0.1305 0.3855 0.8806
0.1380 0.3831 0.3684
0.1380 0.3831 0.6316
0.2539 0.7461 0.2407
0.2539 0.7461 0.7593
0.3831 0.1380 0.3684
0.3831 0.1380 0.6316
0.3855 0.1305 0.1194
0.3855 0.1305 0.8806
0.5000 0.5000 0.0000
0.5000 0.5000 0.5000
0.6145 0.8695 0.1194
0.6145 0.8695 0.8806
0.6169 0.8620 0.3684
0.6169 0.8620 0.6316
0.7461 0.2539 0.2407
0.7461 0.2539 0.7593
0.8620 0.6169 0.3684
0.8620 0.6169 0.6316
0.8695 0.6145 0.1194
0.8695 0.6145 0.8806
```

Properties
- ΔE_f: 14 kJ/mol of formula units
- SG: Cmmm


(16)
V5Re4Tc | PBE | relaxed

Cell and atoms, written as POSCAR:
```
V5Re4Tc
1.0
3.0378 0.0000 0.0000
0.0000 3.0378 0.0000
0.0000 0.0000 15.1868
V Re Tc
5 4 1
Direct
0.0000 0.0000 0.0000
0.0000 0.0000 0.2003
0.0000 0.0000 0.4007
0.0000 0.0000 0.5993
0.0000 0.0000 0.7997
0.5000 0.5000 0.1001
0.5000 0.5000 0.3005
0.5000 0.5000 0.6995
0.5000 0.5000 0.8999
0.5000 0.5000 0.5000
```

Properties
- ΔE_f: -343 kJ/mol of formula units
- SG: P4/mmm


(17)
Sc4AlZn | PBE | relaxed

Cell and atoms, written as POSCAR:
```
Sc4AlZn
1.0
2.3440 1.3533 7.6387
-2.3440 1.3533 7.6387
0.0000 -2.7066 7.6387
Sc Al Zn
4 1 1
Direct
0.1228 0.1228 0.1228
0.3729 0.3729 0.3729
0.6271 0.6271 0.6271
0.8772 0.8772 0.8772
0.5000 0.5000 0.5000
0.0000 0.0000 0.0000
```

Properties
- ΔE_f: 14 kJ/mol of formula units
- SG: R-3m
- E above lowest polymorph: 68 meV/atom


(18)
MgTa2P | PBE | relaxed

Cell and atoms, written as POSCAR:
```
MgTa2P
1.0
2.8377 -3.7060 0.0000
2.8377 3.7060 0.0000
0.0000 0.0000 3.1344
Mg Ta P
1 2 1
Direct
0.0000 0.0000 0.0000
0.0000 0.5000 0.5000
0.5000 0.0000 0.5000
0.5000 0.5000 0.0000
```

Properties
- ΔE_f: 71 kJ/mol of formula units
- SG: Cmmm
- E above lowest polymorph: 283 meV/atom


(19)
KGe2Pt6 | PBE | relaxed

Cell and atoms, written as POSCAR:
```
KGe2Pt6
1.0
4.7067 -3.5957 0.0000
4.7067 3.5957 0.0000
-0.9104 0.0000 5.1616
K Ge Pt
1 2 6
Direct
0.0000 0.0000 0.0000
0.3559 0.3559 0.1507
0.6441 0.6441 0.8493
0.0653 0.4745 0.7505
0.2976 0.7024 0.5000
0.4745 0.0653 0.7505
0.5255 0.9347 0.2495
0.7024 0.2976 0.5000
0.9347 0.5255 0.2495
```

Properties
- ΔE_f: -128 kJ/mol of formula units
- SG: C2/m


(20)
Rb2AlPdCl6 | PBE | relaxed

Cell and atoms, written as POSCAR:
```
Rb2AlPdCl6
1.0
-3.5968 3.5968 4.9591
3.5968 -3.5968 4.9591
3.5968 3.5968 -4.9591
Rb Al Pd Cl
2 1 1 6
Direct
0.2500 0.7500 0.5000
0.7500 0.2500 0.5000
0.0000 0.0000 0.0000
0.5000 0.5000 0.0000
0.2310 0.2310 0.4620
0.2310 0.7690 0.0000
0.2434 0.2434 0.0000
0.7566 0.7566 0.0000
0.7690 0.2310 0.0000
0.7690 0.7690 0.5380
```

Properties
- SG: I4/mmm


Number 1: spin magnetization 0.000 μB per cell, electronic total energy -4.74 eV per atom. Number 2: spin magnetization 0.000 μB per cell, electronic total energy -6.32 eV per atom. Number 3: spin magnetization 0.000 μB per cell, electronic total energy -4.46 eV per atom. Number 4: spin magnetization 3.662 μB per cell, electronic total energy -8.03 eV per atom. Number 5: spin magnetization 3.473 μB per cell, electronic total energy -3.39 eV per atom. Number 6: spin magnetization 0.000 μB per cell, electronic total energy -4.36 eV per atom. Number 7: spin magnetization 0.000 μB per cell, electronic total energy -6.87 eV per atom. Number 8: spin magnetization 0.000 μB per cell, electronic total energy -4.55 eV per atom. Number 9: spin magnetization 0.001 μB per cell, electronic total energy -1.48 eV per atom. Number 10: spin magnetization 0.010 μB per cell, electronic total energy -5.04 eV per atom. Number 11: spin magnetization 4.215 μB per cell, electronic total energy -7.29 eV per atom. Number 12: spin magnetization 0.000 μB per cell, electronic total energy -3.68 eV per atom. Number 13: spin magnetization 0.000 μB per cell, electronic total energy -4.59 eV per atom. Number 14: spin magnetization 0.000 μB per cell, electronic total energy -3.61 eV per atom. Number 15: spin magnetization 8.410 μB per cell, electronic total energy -5.17 eV per atom. Number 16: spin magnetization 0.000 μB per cell, electronic total energy -10.93 eV per atom. Number 17: spin magnetization 0.001 μB per cell, electronic total energy -5.03 eV per atom. Number 18: spin magnetization 0.000 μB per cell, electronic total energy -7.49 eV per atom. Number 19: spin magnetization 0.000 μB per cell, electronic total energy -5.32 eV per atom. Number 20: spin magnetization 1.000 μB per cell, electronic total energy -3.56 eV per atom.